Sr3AlAs2Pd9: relaxed, GGA-PBE.

a = 6.4891 Å, b = 6.4891 Å, c = 9.1020 Å
α = 90.00°, β = 90.00°, γ = 120.00°
Space group P-3m1 (No. 164)
Unique sites:
Sr (0.0000, 0.0000, 0.0000) x1
Sr (0.3333, 0.6667, 0.6619) x2
Al (0.0000, 0.0000, 0.5000) x1
As (0.3333, 0.6667, 0.1768) x2
Pd (0.0000, 0.5000, 0.0000) x3
Pd (0.1418, 0.2836, 0.2907) x6

Values from the calculation:
Formation enthalpy at 0 K, eV/atom: -0.59

***

Ce8Ag2Os3: relaxed, GGA-PBE.

a = 14.749 Å, b = 7.178 Å, c = 7.409 Å
α = 90.00°, β = 108.74°, γ = 90.00°
Space group C2/m (No. 12)
Unique sites:
Ce (0.107, 0.241, 0.379) x8
Ce (0.108, 0.000, 0.950) x4
Ce (0.133, 0.500, 0.858) x4
Ag (0.245, 0.000, 0.714) x4
Os (0.000, 0.295, 0.000) x4
Os (0.000, 0.500, 0.500) x2

Values from the calculation:
Formation enthalpy at 0 K, eV/atom: 0.02

***

MgAlGe2: relaxed, GGA-PBE.

a = 7.488 Å, b = 7.488 Å, c = 5.734 Å
α = 90.00°, β = 90.00°, γ = 90.00°
Space group I-42d (No. 122)
Unique sites:
Mg (0.000, 0.000, 0.000) x4
Al (0.000, 0.000, 0.500) x4
Ge (0.216, 0.250, 0.625) x8

Values from the calculation:
Formation enthalpy at 0 K, eV/atom: 0.11

***

TbDy2Ho3As6: relaxed, GGA-PBE.

a = 17.921 Å, b = 4.113 Å, c = 8.223 Å
α = 90.00°, β = 103.24°, γ = 90.00°
Space group C2/m (No. 12)
Unique sites:
Tb (0.000, 0.000, 0.000) x2
Dy (0.167, 0.500, 0.333) x4
Ho (0.000, 0.000, 0.500) x2
Ho (0.167, 0.500, 0.833) x4
As (0.000, 0.500, 0.252) x4
As (0.166, 0.000, 0.584) x4
As (0.167, 0.000, 0.083) x4

Values from the calculation:
Formation enthalpy at 0 K, eV/atom: -1.53

***

La14TbMg: relaxed, GGA-PBE.

a = 10.498 Å, b = 10.402 Å, c = 10.396 Å
α = 90.00°, β = 90.00°, γ = 90.00°
Space group Amm2 (No. 38)
Unique sites:
La (0.000, 0.000, 0.000) x2
La (0.000, 0.000, 0.500) x2
La (0.000, 0.250, 0.250) x4
La (0.253, 0.000, 0.252) x4
La (0.253, 0.248, 0.500) x8
La (0.254, 0.000, 0.748) x4
La (0.500, 0.249, 0.250) x4
Tb (0.500, 0.000, 0.000) x2
Mg (0.500, 0.000, 0.500) x2

Values from the calculation:
Formation enthalpy at 0 K, eV/atom: -0.01

***

CaAcS2: relaxed, GGA-PBE.

a = 4.1274 Å, b = 4.1274 Å, c = 14.1901 Å
α = 90.00°, β = 90.00°, γ = 120.00°
Space group P6_3/mmc (No. 194)
Unique sites:
Ca (0.0000, 0.0000, 0.0000) x2
Ac (0.3333, 0.6667, 0.2500) x2
S (0.3333, 0.6667, 0.6131) x4

Values from the calculation:
Energy relative to the elements, uncorrected, eV/atom: -2.017

***

| no. | total magnetic moment (μB/cell) |
| --- | --- |
| 1 | 0.0 |
| 2 | 11.6 |
| 3 | 0.0 |
| 4 | 0.0 |
| 5 | 0.0 |
| 6 | 1.6 |